# NaTlSe2 PBE-GGA optimized geometry
data_NaTlSe2
_cell_length_a 4.430
_cell_length_b 4.430
_cell_length_c 7.245
_cell_angle_alpha 90.00
_cell_angle_beta 90.00
_cell_angle_gamma 120.00
_space_group_name_H-M_alt 'P 1'
_space_group_IT_number 1
loop_
_space_group_symop_operation_xyz
'x,y,z'
loop_
_atom_site_label
_atom_site_type_symbol
_atom_site_fract_x
_atom_site_fract_y
_atom_site_fract_z
Na1 Na 0.000 0.000 0.946
Tl1 Tl 0.333 0.667 0.445
Se1 Se 0.333 0.667 0.796
Se2 Se 0.667 0.333 0.267
# * symmetry: P3m1, No. 156
# * theoretical density: 5.195 g cm⁻³

# NaTlSe2 PBE-GGA optimized geometry
data_NaTlSe2
_cell_length_a 7.720
_cell_length_b 4.756
_cell_length_c 4.754
_cell_angle_alpha 119.96
_cell_angle_beta 127.99
_cell_angle_gamma 72.10
_space_group_name_H-M_alt 'P 1'
_space_group_IT_number 1
loop_
_space_group_symop_operation_xyz
'x,y,z'
loop_
_atom_site_label
_atom_site_type_symbol
_atom_site_fract_x
_atom_site_fract_y
_atom_site_fract_z
Na1 Na 0.839 0.686 0.848
Tl1 Tl 0.339 0.019 0.015
Se1 Se 0.633 0.352 0.976
Se2 Se 0.045 0.352 0.387
# * symmetry: P-6m2, No. 187
# * theoretical density: 5.368 g cm⁻³

The M_tot results, record by record, are as follows: 0.00; 0.00 μB per formula unit.
The ΔE_f (raw) results, record by record, are as follows: -0.468; -0.568 eV/atom.